[1]
# NaCrAg2Cl (SCAN, single point on PBEsol structure)
# **Energy**: -89.08 eV for the cell shown
# **Formation energy without anion corrections**: 847 meV per atom
data_NaCrAg2Cl
_chemical_formula_sum 'Na1 Cr1 Ag2 Cl1'
_cell_length_a 4.863
_cell_length_b 4.863
_cell_length_c 5.276
_cell_angle_alpha 90.00
_cell_angle_beta 90.00
_cell_angle_gamma 90.00
_space_group_name_H-M_alt 'P 4/m m m'
_space_group_IT_number 123
_space_group_name_Hall '-P 4 2'
loop_
_atom_site_label
_atom_site_type_symbol
_atom_site_fract_x
_atom_site_fract_y
_atom_site_fract_z
_atom_site_occupancy
Na1 Na 0.000 0.000 0.000 1
Cr1 Cr 0.000 0.000 0.500 1
Ag1 Ag 0.000 0.500 0.000 1
Cl1 Cl 0.500 0.500 0.500 1

[2]
# CrAg2PdCl (SCAN, single point on PBEsol structure)
# **Energy**: -118.08 eV for the cell shown
# **Formation energy without anion corrections**: 757 meV per atom
data_CrAg2PdCl
_chemical_formula_sum 'Cr1 Ag2 Pd1 Cl1'
_cell_length_a 4.814
_cell_length_b 4.814
_cell_length_c 4.518
_cell_angle_alpha 90.00
_cell_angle_beta 90.00
_cell_angle_gamma 90.00
_space_group_name_H-M_alt 'P 4/m m m'
_space_group_IT_number 123
_space_group_name_Hall '-P 4 2'
loop_
_atom_site_label
_atom_site_type_symbol
_atom_site_fract_x
_atom_site_fract_y
_atom_site_fract_z
_atom_site_occupancy
Cr1 Cr 0.000 0.000 0.000 1
Ag1 Ag 0.000 0.500 0.500 1
Pd1 Pd 0.500 0.500 0.000 1
Cl1 Cl 0.500 0.500 0.500 1

[3]
# CrAgSCl2 (SCAN, single point on PBEsol structure)
# **Energy**: -74.95 eV for the cell shown
# **Formation energy without anion corrections**: 77 meV per atom
data_CrAgSCl2
_chemical_formula_sum 'Cr1 Ag1 S1 Cl2'
_cell_length_a 4.784
_cell_length_b 4.784
_cell_length_c 4.907
_cell_angle_alpha 90.00
_cell_angle_beta 90.00
_cell_angle_gamma 90.00
_space_group_name_H-M_alt 'P 4/m m m'
_space_group_IT_number 123
_space_group_name_Hall '-P 4 2'
loop_
_atom_site_label
_atom_site_type_symbol
_atom_site_fract_x
_atom_site_fract_y
_atom_site_fract_z
_atom_site_occupancy
Cr1 Cr 0.000 0.000 0.000 1
Ag1 Ag 0.500 0.500 0.500 1
S1 S 0.500 0.500 0.000 1
Cl1 Cl 0.000 0.500 0.500 1

[4]
# Cs2DyAgCl6 (SCAN, single point on PBEsol structure)
# **Energy**: -894.27 eV for the cell shown
# **Formation energy without anion corrections**: -2092 meV per atom
data_Cs2DyAgCl6
_chemical_formula_sum 'Cs8 Dy4 Ag4 Cl24'
_cell_length_a 10.558
_cell_length_b 10.558
_cell_length_c 10.558
_cell_angle_alpha 90.00
_cell_angle_beta 90.00
_cell_angle_gamma 90.00
_space_group_name_H-M_alt 'F m -3 m'
_space_group_IT_number 225
_space_group_name_Hall '-F 4 2 3'
loop_
_atom_site_label
_atom_site_type_symbol
_atom_site_fract_x
_atom_site_fract_y
_atom_site_fract_z
_atom_site_occupancy
Cs1 Cs 0.250 0.250 0.250 1
Dy1 Dy 0.000 0.000 0.000 1
Ag1 Ag 0.000 0.000 0.500 1
Cl1 Cl 0.000 0.000 0.246 1

[5]
# Cs2ErAgCl6 (SCAN, single point on PBEsol structure)
# **Energy**: -904.57 eV for the cell shown
# **Formation energy without anion corrections**: -2095 meV per atom
data_Cs2ErAgCl6
_chemical_formula_sum 'Cs8 Er4 Ag4 Cl24'
_cell_length_a 10.517
_cell_length_b 10.517
_cell_length_c 10.517
_cell_angle_alpha 90.00
_cell_angle_beta 90.00
_cell_angle_gamma 90.00
_space_group_name_H-M_alt 'F m -3 m'
_space_group_IT_number 225
_space_group_name_Hall '-F 4 2 3'
loop_
_atom_site_label
_atom_site_type_symbol
_atom_site_fract_x
_atom_site_fract_y
_atom_site_fract_z
_atom_site_occupancy
Cs1 Cs 0.250 0.250 0.250 1
Er1 Er 0.000 0.000 0.000 1
Ag1 Ag 0.000 0.000 0.500 1
Cl1 Cl 0.000 0.000 0.245 1

[6]
# Cs2ScAgCl6 (SCAN, single point on PBEsol structure)
# **Energy**: -757.73 eV for the cell shown
# **Formation energy without anion corrections**: -2034 meV per atom
data_Cs2ScAgCl6
_chemical_formula_sum 'Cs8 Sc4 Ag4 Cl24'
_cell_length_a 10.308
_cell_length_b 10.308
_cell_length_c 10.308
_cell_angle_alpha 90.00
_cell_angle_beta 90.00
_cell_angle_gamma 90.00
_space_group_name_H-M_alt 'F m -3 m'
_space_group_IT_number 225
_space_group_name_Hall '-F 4 2 3'
loop_
_atom_site_label
_atom_site_type_symbol
_atom_site_fract_x
_atom_site_fract_y
_atom_site_fract_z
_atom_site_occupancy
Cs1 Cs 0.250 0.250 0.250 1
Sc1 Sc 0.000 0.000 0.000 1
Ag1 Ag 0.000 0.000 0.500 1
Cl1 Cl 0.000 0.000 0.240 1

[7]
# Cs2SmAgCl6 (SCAN, single point on PBEsol structure)
# **Energy**: -880.43 eV for the cell shown
# **Formation energy without anion corrections**: -2081 meV per atom
data_Cs2SmAgCl6
_chemical_formula_sum 'Cs8 Sm4 Ag4 Cl24'
_cell_length_a 10.666
_cell_length_b 10.666
_cell_length_c 10.666
_cell_angle_alpha 90.00
_cell_angle_beta 90.00
_cell_angle_gamma 90.00
_space_group_name_H-M_alt 'F m -3 m'
_space_group_IT_number 225
_space_group_name_Hall '-F 4 2 3'
loop_
_atom_site_label
_atom_site_type_symbol
_atom_site_fract_x
_atom_site_fract_y
_atom_site_fract_z
_atom_site_occupancy
Cs1 Cs 0.250 0.250 0.250 1
Sm1 Sm 0.000 0.000 0.000 1
Ag1 Ag 0.000 0.000 0.500 1
Cl1 Cl 0.000 0.000 0.249 1

[8]
# Cs2TbAgCl6 (SCAN, single point on PBEsol structure)
# **Energy**: -890.06 eV for the cell shown
# **Formation energy without anion corrections**: -2090 meV per atom
data_Cs2TbAgCl6
_chemical_formula_sum 'Cs8 Tb4 Ag4 Cl24'
_cell_length_a 10.581
_cell_length_b 10.581
_cell_length_c 10.581
_cell_angle_alpha 90.00
_cell_angle_beta 90.00
_cell_angle_gamma 90.00
_space_group_name_H-M_alt 'F m -3 m'
_space_group_IT_number 225
_space_group_name_Hall '-F 4 2 3'
loop_
_atom_site_label
_atom_site_type_symbol
_atom_site_fract_x
_atom_site_fract_y
_atom_site_fract_z
_atom_site_occupancy
Cs1 Cs 0.250 0.250 0.250 1
Tb1 Tb 0.000 0.000 0.000 1
Ag1 Ag 0.000 0.000 0.500 1
Cl1 Cl 0.000 0.000 0.247 1

[9]
# Cs2TlAgCl6 (SCAN, single point on PBEsol structure)
# **Energy**: -964.53 eV for the cell shown
# **Formation energy without anion corrections**: -1392 meV per atom
data_Cs2TlAgCl6
_chemical_formula_sum 'Cs8 Tl4 Ag4 Cl24'
_cell_length_a 10.456
_cell_length_b 10.456
_cell_length_c 10.456
_cell_angle_alpha 90.00
_cell_angle_beta 90.00
_cell_angle_gamma 90.00
_space_group_name_H-M_alt 'F m -3 m'
_space_group_IT_number 225
_space_group_name_Hall '-F 4 2 3'
loop_
_atom_site_label
_atom_site_type_symbol
_atom_site_fract_x
_atom_site_fract_y
_atom_site_fract_z
_atom_site_occupancy
Cs1 Cs 0.250 0.250 0.250 1
Tl1 Tl 0.000 0.000 0.000 1
Ag1 Ag 0.000 0.000 0.500 1
Cl1 Cl 0.000 0.000 0.252 1

[10]
# Cs2TmAgCl6 (SCAN, single point on PBEsol structure)
# **Energy**: -910.62 eV for the cell shown
# **Formation energy without anion corrections**: -2097 meV per atom
data_Cs2TmAgCl6
_chemical_formula_sum 'Cs8 Tm4 Ag4 Cl24'
_cell_length_a 10.498
_cell_length_b 10.498
_cell_length_c 10.498
_cell_angle_alpha 90.00
_cell_angle_beta 90.00
_cell_angle_gamma 90.00
_space_group_name_H-M_alt 'F m -3 m'
_space_group_IT_number 225
_space_group_name_Hall '-F 4 2 3'
loop_
_atom_site_label
_atom_site_type_symbol
_atom_site_fract_x
_atom_site_fract_y
_atom_site_fract_z
_atom_site_occupancy
Cs1 Cs 0.250 0.250 0.250 1
Tm1 Tm 0.000 0.000 0.000 1
Ag1 Ag 0.000 0.000 0.500 1
Cl1 Cl 0.000 0.000 0.245 1

[11]
# CuAgCl (SCAN, single point on PBEsol structure)
# **Energy**: -213.92 eV for the cell shown
# **Formation energy without anion corrections**: 355 meV per atom
data_CuAgCl
_chemical_formula_sum 'Cu4 Ag4 Cl4'
_cell_length_a 6.133
_cell_length_b 6.133
_cell_length_c 6.133
_cell_angle_alpha 90.00
_cell_angle_beta 90.00
_cell_angle_gamma 90.00
_space_group_name_H-M_alt 'F -4 3 m'
_space_group_IT_number 216
_space_group_name_Hall 'F -4 2 3'
loop_
_atom_site_label
_atom_site_type_symbol
_atom_site_fract_x
_atom_site_fract_y
_atom_site_fract_z
_atom_site_occupancy
Cu1 Cu 0.000 0.000 0.000 1
Ag1 Ag 0.250 0.250 0.250 1
Cl1 Cl 0.000 0.000 0.500 1

[12]
# CuAgCl3 (SCAN, single point on PBEsol structure)
# **Energy**: -72.50 eV for the cell shown
# **Formation energy without anion corrections**: -401 meV per atom
data_CuAgCl3
_chemical_formula_sum 'Cu1 Ag1 Cl3'
_cell_length_a 4.634
_cell_length_b 4.634
_cell_length_c 4.634
_cell_angle_alpha 90.00
_cell_angle_beta 90.00
_cell_angle_gamma 90.00
_space_group_name_H-M_alt 'P m -3 m'
_space_group_IT_number 221
_space_group_name_Hall '-P 4 2 3'
loop_
_atom_site_label
_atom_site_type_symbol
_atom_site_fract_x
_atom_site_fract_y
_atom_site_fract_z
_atom_site_occupancy
Cu1 Cu 0.000 0.000 0.000 1
Ag1 Ag 0.500 0.500 0.500 1
Cl1 Cl 0.000 0.000 0.500 1

Which value of energy does entry 3 give?
-74.95 eV for the cell shown

Which of these has the highest formation energy without anion corrections?
NaCrAg2Cl